Below is a relaxed structure of LuAl3, with properties calculated at the GGA-PBE level.

Crystal system = hexagonal
Raw total energy = -4.318 eV per atom

abc: 6.1064 6.1064 4.6696
angles: 90.00 90.00 120.00
Space group P6_3/mmc (No. 194)
Unique sites:
Lu  0.3333  0.6667  0.2500 (multiplicity 2)
Al  0.1516  0.3032  0.7500 (multiplicity 6)